Computed, not measured: an optimized crystal structure of Sc3Zn8Au at the PBE level of DFT.

Lattice parameters (Å, degrees): 9.0174 9.0174 9.0174 33.46 33.46 33.46
Closest atoms and distances in Å follow each position.
Fractional positions:
1 Sc 0.0000 0.0000 0.0000  12 Zn 3.03-3.08, 3 Au 3.16, 1 Sc 3.19
2 Sc 0.1252 0.1252 0.1252  12 Zn 3.02-3.07, 4 Sc 3.19-3.24
3 Sc 0.5062 0.5062 0.5062  12 Zn 2.98-3.13, 1 Au 3.09, 3 Sc 3.24
4 Zn 0.0633 0.0633 0.5639  6 Zn 2.58-2.62
5 Zn 0.0633 0.5639 0.0633  6 Zn 2.58-2.62
6 Zn 0.0666 0.5638 0.5638  6 Zn 2.58-2.61
7 Zn 0.3142 0.3142 0.3142  6 Zn 2.61-2.62
8 Zn 0.5639 0.0633 0.0633  6 Zn 2.58-2.62
9 Zn 0.5638 0.0666 0.5638  6 Zn 2.58-2.61
10 Zn 0.5638 0.5638 0.0666  6 Zn 2.58-2.61
11 Zn 0.8145 0.8145 0.8145  6 Zn 2.58-2.60
12 Au 0.6272 0.6272 0.6272  12 Zn 3.04-3.06, 4 Sc 3.09-3.16

- Raw total energy: -36.4 eV/f.u.
- ΔE_f: -0.33 eV per atom



Computed, not measured: an optimized crystal structure of Hf3BeS at the PBE level of DFT.

Lattice parameters (Å, degrees): 4.7011 4.7011 4.7011 90.00 90.00 90.00
Closest atoms and distances in Å follow each position.
Fractional positions:
1 Hf 0.0000 0.0000 0.5000  2 S 2.35
2 Hf 0.0000 0.5000 0.0000  2 S 2.35
3 Hf 0.5000 0.0000 0.0000  2 S 2.35
4 Be 0.5000 0.5000 0.5000  12 Hf 3.32
5 S 0.0000 0.0000 0.0000  6 Hf 2.35

- Raw total energy: -37.5 eV/f.u.
- Relative energy among the computed polymorphs: 0.000 eV/atom



Computed, not measured: an optimized crystal structure of Pm2BiAu2 at the PBE level of DFT.

Lattice parameters (Å, degrees): 8.0807 8.0807 4.0445 90.00 90.00 90.00
Closest atoms and distances in Å follow each position.
Fractional positions:
1 Pm 0.1699 0.3301 0.0000  6 Au 3.09-3.15
2 Pm 0.3301 0.8301 0.0000  6 Au 3.09-3.15
3 Pm 0.6699 0.1699 0.0000  6 Au 3.09-3.15
4 Pm 0.8301 0.6699 0.0000  6 Au 3.09-3.15
5 Bi 0.0000 0.0000 0.5000  4 Au 3.19
6 Bi 0.5000 0.5000 0.5000  4 Au 3.19
7 Au 0.1254 0.6254 0.5000  1 Au 2.87, 6 Pm 3.09-3.15, 2 Bi 3.19
8 Au 0.3746 0.1254 0.5000  1 Au 2.87, 6 Pm 3.09-3.15, 2 Bi 3.19
9 Au 0.6254 0.8746 0.5000  1 Au 2.87, 6 Pm 3.09-3.15, 2 Bi 3.19
10 Au 0.8746 0.3746 0.5000  1 Au 2.87, 6 Pm 3.09-3.15, 2 Bi 3.19

- Raw total energy: -23.9 eV/f.u.
- ΔE_f: -0.80 eV per atom



Computed, not measured: an optimized crystal structure of AlOs2Pb at the PBE level of DFT.

Lattice parameters (Å, degrees): 2.9988 4.0383 5.7240 90.00 100.42 90.00
Closest atoms and distances in Å follow each position.
Fractional positions:
1 Al 0.0000 0.0000 0.0000  4 Os 2.48
2 Os 0.3546 0.5000 0.2052  2 Al 2.48, 1 Os 2.65
3 Os 0.6454 0.5000 0.7948  2 Al 2.48, 1 Os 2.65
4 Pb 0.0000 0.0000 0.5000  2 Al 2.86, 8 Os 2.95-3.08, 2 Pb 3.00

- Raw total energy: -27.8 eV/f.u.
- Relative energy among the computed polymorphs: 0.220 eV/atom
- ΔE_f: 0.52 eV per atom



Computed, not measured: an optimized crystal structure of Cu2TeW at the PBE level of DFT.

Lattice parameters (Å, degrees): 5.7477 5.7477 5.7477 102.00 102.00 125.75
Closest atoms and distances in Å follow each position.
Fractional positions:
1 Cu 0.1209 0.1250 0.4959  2 W 2.62, 2 Cu 2.62, 2 Te 2.66
2 Cu 0.3750 0.8791 0.0041  2 W 2.62, 2 Cu 2.62, 2 Te 2.66
3 Cu 0.6291 0.6250 0.5041  2 W 2.62, 2 Cu 2.62, 2 Te 2.66
4 Cu 0.8750 0.3709 0.9959  2 W 2.62, 2 Cu 2.62, 2 Te 2.66
5 Te 0.2500 0.7500 0.5000  2 W 2.62, 4 Cu 2.66
6 Te 0.5000 0.5000 0.0000  2 W 2.62, 4 Cu 2.66
7 W 0.0000 0.0000 0.0000  4 Cu 2.62, 2 Te 2.62
8 W 0.7500 0.2500 0.5000  4 Cu 2.62, 2 Te 2.62

- Raw total energy: -21.2 eV/f.u.



Computed, not measured: an optimized crystal structure of Sc2CrIn at the PBE level of DFT.

Lattice parameters (Å, degrees): 5.8292 5.8292 5.8292 145.34 131.05 61.36
Closest atoms and distances in Å follow each position.
Fractional positions:
1 Sc 0.0000 0.0000 0.0000  2 Cr 2.96, 4 In 2.99, 2 Sc 3.25
2 Sc 0.7260 0.2260 0.5000  4 Cr 2.98, 2 In 3.14, 4 Sc 3.25-3.31
3 Cr 0.2385 0.7385 0.5000  2 In 2.86, 6 Sc 2.96-2.98
4 In 0.4651 0.4651 0.0000  2 Cr 2.86, 6 Sc 2.99-3.14

- Raw total energy: -25.0 eV/f.u.
- ΔE_f: 0.01 eV per atom



Computed, not measured: an optimized crystal structure of Nd2Dy15Mg2 at the PBE level of DFT.

Lattice parameters (Å, degrees): 8.6153 8.6153 8.6153 81.28 81.28 81.28
Closest atoms and distances in Å follow each position.
Fractional positions:
1 Nd 0.1735 0.1735 0.1735  1 Mg 3.97, 15 Dy 3.97-4.23
2 Nd 0.8265 0.8265 0.8265  1 Mg 3.97, 15 Dy 3.97-4.23
3 Dy 0.0000 0.5000 0.5000  8 Dy 3.30-3.31, 2 Mg 3.47
4 Dy 0.1391 0.1391 0.6487  8 Dy 3.28-3.68
5 Dy 0.1391 0.6487 0.1391  8 Dy 3.28-3.68
6 Dy 0.2047 0.5000 0.7953  8 Dy 3.31-3.68, 2 Mg 3.68
7 Dy 0.2047 0.7953 0.5000  8 Dy 3.31-3.68, 2 Mg 3.68
8 Dy 0.3513 0.8609 0.8609  8 Dy 3.28-3.68
9 Dy 0.5000 0.0000 0.5000  8 Dy 3.30-3.31, 2 Mg 3.47
10 Dy 0.5000 0.2047 0.7953  8 Dy 3.31-3.68, 2 Mg 3.68
11 Dy 0.5000 0.5000 0.0000  8 Dy 3.30-3.31, 2 Mg 3.47
12 Dy 0.5000 0.7953 0.2047  8 Dy 3.31-3.68, 2 Mg 3.68
13 Dy 0.6487 0.1391 0.1391  8 Dy 3.28-3.68
14 Dy 0.7953 0.2047 0.5000  8 Dy 3.31-3.68, 2 Mg 3.68
15 Dy 0.7953 0.5000 0.2047  8 Dy 3.31-3.68, 2 Mg 3.68
16 Dy 0.8609 0.3513 0.8609  8 Dy 3.28-3.68
17 Dy 0.8609 0.8609 0.3513  8 Dy 3.28-3.68
18 Mg 0.4067 0.4067 0.4067  1 Mg 3.18, 3 Dy 3.47
19 Mg 0.5933 0.5933 0.5933  1 Mg 3.18, 3 Dy 3.47

- Raw total energy: -77.7 eV/f.u.
- ΔE_f: 0.21 eV per atom



Computed, not measured: an optimized crystal structure of PdAuO3 at the PBE level of DFT.

Lattice parameters (Å, degrees): 3.9402 3.9402 3.9402 90.00 90.00 90.00
Closest atoms and distances in Å follow each position.
Fractional positions:
1 Pd 0.0000 0.0000 0.0000  6 O 1.97
2 Au 0.5000 0.5000 0.5000  12 O 2.79
3 O 0.0000 0.0000 0.5000  2 Pd 1.97
4 O 0.0000 0.5000 0.0000  2 Pd 1.97
5 O 0.5000 0.0000 0.0000  2 Pd 1.97

- Raw total energy: -20.8 eV/f.u.